A plane-wave DFT calculation with PBE was carried out for crystalline BaAcPdS4 at its relaxed geometry.

The structure in CIF format:
```
data_BaAcPdS4
_chemical_formula_sum 'Ba4 Ac4 Pd4 S16'
_symmetry_space_group_name_H-M 'C m c m'
_symmetry_Int_Tables_number 63
_symmetry_space_group_name_Hall '-C 2c 2'
_cell_length_a 6.770
_cell_length_b 15.114
_cell_length_c 6.812
_cell_angle_alpha 90.00
_cell_angle_beta 90.00
_cell_angle_gamma 90.00
loop_
_atom_site_label
_atom_site_type_symbol
_atom_site_fract_x
_atom_site_fract_y
_atom_site_fract_z
_atom_site_occupancy
Ba1 Ba 0.000 0.107 0.250 1
Ac1 Ac 0.000 0.380 0.250 1
Pd1 Pd 0.000 0.253 0.750 1
S1 S 0.000 0.094 0.750 1
S2 S 0.000 0.423 0.750 1
S3 S 0.250 0.250 0.000 1
```

## Properties
Total DFT energy (no corrections) (eV per atom): -5.3701
Magnetization (μB/atom): 0.0000
Calculated volume (Å³/cell): 697.1